1.
VASP calculation (PBE) on an optimized crystal structure of ZrMn2Br.

```
data_ZrMn2Br
_cell_length_a 4.211
_cell_length_b 4.211
_cell_length_c 8.381
_cell_angle_alpha 90.00
_cell_angle_beta 90.00
_cell_angle_gamma 90.00
_symmetry_space_group_name_H-M 'I -4 m 2'
_symmetry_Int_Tables_number 119
_symmetry_space_group_name_Hall 'I -4 -2'
loop_
_atom_site_label
_atom_site_fract_x
_atom_site_fract_y
_atom_site_fract_z
_atom_site_occupancy
Zr1 0.000 0.000 0.000 1
Mn1 0.000 0.000 0.500 1
Mn2 0.000 0.500 0.250 1
Br1 0.000 0.500 0.750 1
```

Calculated values
Formation energy (no corrections): 1.82 eV per formula unit
Total DFT energy (no corrections): -6.6848 eV per atom

***

2.
VASP calculation (PBE) on an optimized crystal structure of PuNi4Sn4.

```
data_PuNi4Sn4
_cell_length_a 8.447
_cell_length_b 8.447
_cell_length_c 5.116
_cell_angle_alpha 90.00
_cell_angle_beta 90.00
_cell_angle_gamma 90.00
_symmetry_space_group_name_H-M 'P 42/n'
_symmetry_Int_Tables_number 86
loop_
_symmetry_equiv_pos_as_xyz
'x,y,z'
'-x,-y,-z'
'-y,x+1/2,z+1/2'
'y,-x+1/2,-z+1/2'
'-x+1/2,-y+1/2,z'
'x+1/2,y+1/2,-z'
'y+1/2,-x,z+1/2'
'-y+1/2,x,-z+1/2'
loop_
_atom_site_label
_atom_site_fract_x
_atom_site_fract_y
_atom_site_fract_z
_atom_site_occupancy
Pu1 0.250 0.250 0.250 1
Ni1 0.054 0.602 0.655 1
Sn1 0.095 0.638 0.157 1
```

Calculated values
Formation energy from the elements: -0.1113 eV per atom
Total DFT energy (no corrections): -6.0523 eV per atom

***

3.
VASP calculation (PBE) on an optimized crystal structure of HfNbBr3.

```
data_HfNbBr3
_cell_length_a 5.271
_cell_length_b 5.271
_cell_length_c 5.271
_cell_angle_alpha 90.00
_cell_angle_beta 90.00
_cell_angle_gamma 90.00
_symmetry_space_group_name_H-M 'P m -3 m'
_symmetry_Int_Tables_number 221
_symmetry_space_group_name_Hall '-P 4 2 3'
loop_
_atom_site_label
_atom_site_fract_x
_atom_site_fract_y
_atom_site_fract_z
_atom_site_occupancy
Hf1 0.000 0.000 0.000 1
Nb1 0.500 0.500 0.500 1
Br1 0.000 0.500 0.500 1
```

Calculated values
Formation energy (no corrections): 2.91 eV per formula unit
Total DFT energy (no corrections): -4.4267 eV per atom

***

4.
VASP calculation (PBE) on an optimized crystal structure of ReTeP2.

```
data_ReTeP2
_cell_length_a 6.058
_cell_length_b 6.058
_cell_length_c 10.301
_cell_angle_alpha 90.00
_cell_angle_beta 90.00
_cell_angle_gamma 90.00
_symmetry_space_group_name_H-M 'I -4 2 d'
_symmetry_Int_Tables_number 122
_symmetry_space_group_name_Hall 'I -4 2bw'
loop_
_atom_site_label
_atom_site_fract_x
_atom_site_fract_y
_atom_site_fract_z
_atom_site_occupancy
Re1 0.000 0.000 0.000 1
Te1 0.000 0.000 0.500 1
P1 0.180 0.250 0.125 1
```

Calculated values
Formation energy (no corrections): 1.43 eV per formula unit
Total DFT energy (no corrections): -6.2448 eV per atom

***

5.
VASP calculation (PBE) on an optimized crystal structure of Rb2PbBr6F.

```
data_Rb2PbBr6F
_cell_length_a 8.316
_cell_length_b 8.316
_cell_length_c 10.128
_cell_angle_alpha 90.00
_cell_angle_beta 90.00
_cell_angle_gamma 90.00
_symmetry_space_group_name_H-M 'I 4/m m m'
_symmetry_Int_Tables_number 139
_symmetry_space_group_name_Hall '-I 4 2'
loop_
_atom_site_label
_atom_site_fract_x
_atom_site_fract_y
_atom_site_fract_z
_atom_site_occupancy
Rb1 0.000 0.500 0.250 1
Pb1 0.000 0.000 0.000 1
Br1 0.000 0.000 0.273 1
Br2 0.236 0.236 0.000 1
F1 0.000 0.000 0.500 1
```

Calculated values
Formation energy (no corrections): -9.68 eV per formula unit
Total DFT energy (no corrections): -2.7234 eV per atom

***

6.
VASP calculation (PBE) on an optimized crystal structure of YOs2W.

```
data_YOs2W
_cell_length_a 10.991
_cell_length_b 2.932
_cell_length_c 4.811
_cell_angle_alpha 90.00
_cell_angle_beta 115.78
_cell_angle_gamma 90.00
_symmetry_space_group_name_H-M 'C 1 m 1'
_symmetry_Int_Tables_number 8
loop_
_symmetry_equiv_pos_as_xyz
'x,y,z'
'x,-y,z'
'x+1/2,y+1/2,z'
'x+1/2,-y+1/2,z'
loop_
_atom_site_label
_atom_site_fract_x
_atom_site_fract_y
_atom_site_fract_z
_atom_site_occupancy
Y1 0.000 0.000 0.000 1
Os1 0.273 0.500 0.359 1
Os2 0.491 0.000 0.471 1
W1 0.218 0.000 0.795 1
```

Calculated values
Formation energy from the elements: 0.2751 eV per atom
Total DFT energy (no corrections): -10.1940 eV per atom

***

7.
VASP calculation (PBE) on an optimized crystal structure of Ca2TePbO8.

```
data_Ca2TePbO8
_cell_length_a 5.114
_cell_length_b 6.908
_cell_length_c 5.116
_cell_angle_alpha 90.00
_cell_angle_beta 93.45
_cell_angle_gamma 90.00
_symmetry_space_group_name_H-M 'P 1 2/m 1'
_symmetry_Int_Tables_number 10
loop_
_symmetry_equiv_pos_as_xyz
'x,y,z'
'-x,-y,-z'
'-x,y,-z'
'x,-y,z'
loop_
_atom_site_label
_atom_site_fract_x
_atom_site_fract_y
_atom_site_fract_z
_atom_site_occupancy
Ca1 0.000 0.246 0.000 1
Te1 0.500 0.000 0.500 1
Pb1 0.500 0.500 0.500 1
O1 0.212 0.500 0.211 1
O2 0.230 0.000 0.228 1
O3 0.320 0.209 0.678 1
```

Calculated values
Formation energy (no corrections): -17.28 eV per formula unit
Total DFT energy (no corrections): -5.6502 eV per atom

***

8.
VASP calculation (PBE) on an optimized crystal structure of PmSm3Sb3.

```
data_PmSm3Sb3
_cell_length_a 9.409
_cell_length_b 9.409
_cell_length_c 9.409
_cell_angle_alpha 90.00
_cell_angle_beta 90.00
_cell_angle_gamma 90.00
_symmetry_space_group_name_H-M 'P 21 3'
_symmetry_Int_Tables_number 198
_symmetry_space_group_name_Hall 'P 2ac 2ab 3'
loop_
_atom_site_label
_atom_site_fract_x
_atom_site_fract_y
_atom_site_fract_z
_atom_site_occupancy
Pm1 0.070 0.430 0.570 1
Sm1 0.071 0.571 0.929 1
Sm2 0.179 0.179 0.179 1
Sm3 0.179 0.821 0.321 1
Sb1 0.000 0.251 0.875 1
```

Calculated values
Formation energy (no corrections): -7.36 eV per formula unit
Total DFT energy (no corrections): -5.5193 eV per atom

***

9.
VASP calculation (PBE) on an optimized crystal structure of K2RbYZr.

```
data_K2RbYZr
_cell_length_a 5.992
_cell_length_b 5.992
_cell_length_c 6.427
_cell_angle_alpha 90.00
_cell_angle_beta 90.00
_cell_angle_gamma 90.00
_symmetry_space_group_name_H-M 'P 4/m m m'
_symmetry_Int_Tables_number 123
_symmetry_space_group_name_Hall '-P 4 2'
loop_
_atom_site_label
_atom_site_fract_x
_atom_site_fract_y
_atom_site_fract_z
_atom_site_occupancy
K1 0.000 0.500 0.000 1
Rb1 0.000 0.000 0.000 1
Y1 0.500 0.500 0.500 1
Zr1 0.000 0.000 0.500 1
```

Calculated values
Formation energy from the elements: 1.4027 eV per atom
Total DFT energy (no corrections): -2.2323 eV per atom

***

10.
VASP calculation (PBE) on an optimized crystal structure of Sr3TaCu.

```
data_Sr3TaCu
_cell_length_a 5.885
_cell_length_b 5.885
_cell_length_c 5.885
_cell_angle_alpha 90.00
_cell_angle_beta 90.00
_cell_angle_gamma 90.00
_symmetry_space_group_name_H-M 'P m -3 m'
_symmetry_Int_Tables_number 221
_symmetry_space_group_name_Hall '-P 4 2 3'
loop_
_atom_site_label
_atom_site_fract_x
_atom_site_fract_y
_atom_site_fract_z
_atom_site_occupancy
Sr1 0.000 0.000 0.500 1
Ta1 0.000 0.000 0.000 1
Cu1 0.500 0.500 0.500 1
```

Calculated values
Formation energy from the elements: 1.2515 eV per atom
Total DFT energy (no corrections): -2.9474 eV per atom

***

11.
VASP calculation (PBE) on an optimized crystal structure of Np4S5O.

```
data_Np4S5O
_cell_length_a 16.769
_cell_length_b 3.863
_cell_length_c 7.405
_cell_angle_alpha 90.00
_cell_angle_beta 105.32
_cell_angle_gamma 90.00
_symmetry_space_group_name_H-M 'C 1 2/m 1'
_symmetry_Int_Tables_number 12
loop_
_symmetry_equiv_pos_as_xyz
'x,y,z'
'-x,-y,-z'
'-x,y,-z'
'x,-y,z'
'x+1/2,y+1/2,z'
'-x+1/2,-y+1/2,-z'
'-x+1/2,y+1/2,-z'
'x+1/2,-y+1/2,z'
loop_
_atom_site_label
_atom_site_fract_x
_atom_site_fract_y
_atom_site_fract_z
_atom_site_occupancy
Np1 0.003 0.000 0.266 1
Np2 0.164 0.500 0.598 1
S1 0.000 0.500 0.000 1
S2 0.161 0.000 0.839 1
S3 0.170 0.000 0.345 1
O1 0.000 0.500 0.500 1
```

Calculated values
Formation energy (no corrections): -14.33 eV per formula unit
Total DFT energy (no corrections): -9.1686 eV per atom

***

12.
VASP calculation (PBE) on an optimized crystal structure of ZrTeI2Cl.

```
data_ZrTeI2Cl
_cell_length_a 5.385
_cell_length_b 5.385
_cell_length_c 5.807
_cell_angle_alpha 90.00
_cell_angle_beta 90.00
_cell_angle_gamma 90.00
_symmetry_space_group_name_H-M 'P 4/m m m'
_symmetry_Int_Tables_number 123
_symmetry_space_group_name_Hall '-P 4 2'
loop_
_atom_site_label
_atom_site_fract_x
_atom_site_fract_y
_atom_site_fract_z
_atom_site_occupancy
Zr1 0.000 0.000 0.000 1
Te1 0.500 0.500 0.000 1
I1 0.000 0.500 0.500 1
Cl1 0.500 0.500 0.500 1
```

Calculated values
Formation energy (no corrections): 3.71 eV per formula unit
Total DFT energy (no corrections): -2.5854 eV per atom

***

13.
VASP calculation (PBE) on an optimized crystal structure of BeZn2Ru.

```
data_BeZn2Ru
_cell_length_a 3.457
_cell_length_b 3.457
_cell_length_c 18.131
_cell_angle_alpha 90.00
_cell_angle_beta 90.00
_cell_angle_gamma 90.00
_symmetry_space_group_name_H-M 'I -4 2 d'
_symmetry_Int_Tables_number 122
_symmetry_space_group_name_Hall 'I -4 2bw'
loop_
_atom_site_label
_atom_site_fract_x
_atom_site_fract_y
_atom_site_fract_z
_atom_site_occupancy
Be1 0.000 0.000 0.000 1
Zn1 0.250 0.250 0.125 1
Ru1 0.000 0.000 0.500 1
```

Calculated values
Formation energy from the elements: 0.2563 eV per atom
Total DFT energy (no corrections): -3.6312 eV per atom

***

14.
VASP calculation (PBE) on an optimized crystal structure of BaPmInGa.

```
data_BaPmInGa
_cell_length_a 7.954
_cell_length_b 7.954
_cell_length_c 7.954
_cell_angle_alpha 90.00
_cell_angle_beta 90.00
_cell_angle_gamma 90.00
_symmetry_space_group_name_H-M 'F -4 3 m'
_symmetry_Int_Tables_number 216
_symmetry_space_group_name_Hall 'F -4 2 3'
loop_
_atom_site_label
_atom_site_fract_x
_atom_site_fract_y
_atom_site_fract_z
_atom_site_occupancy
Ba1 0.000 0.000 0.000 1
Pm1 0.000 0.000 0.500 1
In1 0.250 0.250 0.250 1
Ga1 0.250 0.250 0.750 1
```

Calculated values
Formation energy from the elements: -0.2946 eV per atom
Total DFT energy (no corrections): -3.4043 eV per atom

***

15.
VASP calculation (PBE) on an optimized crystal structure of CePmTl.

```
data_CePmTl
_cell_length_a 3.753
_cell_length_b 3.753
_cell_length_c 25.999
_cell_angle_alpha 90.00
_cell_angle_beta 90.00
_cell_angle_gamma 90.00
_symmetry_space_group_name_H-M 'I 4/m m m'
_symmetry_Int_Tables_number 139
_symmetry_space_group_name_Hall '-I 4 2'
loop_
_atom_site_label
_atom_site_fract_x
_atom_site_fract_y
_atom_site_fract_z
_atom_site_occupancy
Ce1 0.000 0.000 0.224 1
Pm1 0.000 0.000 0.069 1
Tl1 0.000 0.000 0.356 1
```

Calculated values
Formation energy from the elements: -0.0456 eV per atom
Total DFT energy (no corrections): -4.3959 eV per atom

***

16.
VASP calculation (PBE) on an optimized crystal structure of TlGe2AsO6.

```
data_TlGe2AsO6
_cell_length_a 10.834
_cell_length_b 10.284
_cell_length_c 5.818
_cell_angle_alpha 90.00
_cell_angle_beta 105.87
_cell_angle_gamma 90.00
_symmetry_space_group_name_H-M 'C 1 2/c 1'
_symmetry_Int_Tables_number 15
loop_
_symmetry_equiv_pos_as_xyz
'x,y,z'
'-x,-y,-z'
'-x,y,-z+1/2'
'x,-y,z+1/2'
'x+1/2,y+1/2,z'
'-x+1/2,-y+1/2,-z'
'-x+1/2,y+1/2,-z+1/2'
'x+1/2,-y+1/2,z+1/2'
loop_
_atom_site_label
_atom_site_fract_x
_atom_site_fract_y
_atom_site_fract_z
_atom_site_occupancy
Tl1 0.000 0.109 0.250 1
Ge1 0.246 0.401 0.184 1
As1 0.000 0.313 0.750 1
O1 0.106 0.310 0.112 1
O2 0.114 0.195 0.683 1
O3 0.245 0.022 0.090 1
```

Calculated values
Formation energy (no corrections): -12.86 eV per formula unit
Total DFT energy (no corrections): -5.8860 eV per atom

***

17.
VASP calculation (PBE) on an optimized crystal structure of Gd5Y3O12.

```
data_Gd5Y3O12
_cell_length_a 10.799
_cell_length_b 10.803
_cell_length_c 10.807
_cell_angle_alpha 90.00
_cell_angle_beta 90.00
_cell_angle_gamma 90.00
_symmetry_space_group_name_H-M 'I 21 21 21'
_symmetry_Int_Tables_number 24
loop_
_symmetry_equiv_pos_as_xyz
'x,y,z'
'-x,-y+1/2,z'
'x,-y,-z+1/2'
'-x,y+1/2,-z+1/2'
'x+1/2,y+1/2,z+1/2'
'-x+1/2,-y,z+1/2'
'x+1/2,-y+1/2,-z'
'-x+1/2,y,-z'
loop_
_atom_site_label
_atom_site_fract_x
_atom_site_fract_y
_atom_site_fract_z
_atom_site_occupancy
Gd1 0.000 0.250 0.032 1
Gd2 0.000 0.250 0.533 1
Gd3 0.032 0.000 0.250 1
Gd4 0.250 0.032 0.500 1
Gd5 0.250 0.468 0.000 1
Y1 0.033 0.500 0.750 1
Y2 0.249 0.250 0.750 1
O1 0.109 0.349 0.878 1
O2 0.111 0.152 0.379 1
O3 0.120 0.109 0.653 1
O4 0.121 0.390 0.152 1
O5 0.152 0.121 0.110 1
O6 0.152 0.379 0.612 1
```

Calculated values
Formation energy (no corrections): -70.07 eV per formula unit
Total DFT energy (no corrections): -10.9683 eV per atom

***

18.
VASP calculation (PBE) on an optimized crystal structure of KLiTlBrF.

```
data_KLiTlBrF
_cell_length_a 3.989
_cell_length_b 6.395
_cell_length_c 6.771
_cell_angle_alpha 100.11
_cell_angle_beta 90.01
_cell_angle_gamma 108.11
_symmetry_space_group_name_H-M 'P 1'
_symmetry_Int_Tables_number 1
loop_
_symmetry_equiv_pos_as_xyz
'x,y,z'
loop_
_atom_site_label
_atom_site_fract_x
_atom_site_fract_y
_atom_site_fract_z
_atom_site_occupancy
K1 0.000 0.000 0.000 1
Li1 0.317 0.634 0.227 1
Tl1 0.646 0.293 0.503 1
Br1 0.724 0.447 0.031 1
F1 0.462 0.923 0.211 1
```

Calculated values
Formation energy (no corrections): -7.47 eV per formula unit
Total DFT energy (no corrections): -3.2788 eV per atom

***

19.
VASP calculation (PBE) on an optimized crystal structure of Tl2OsBr.

```
data_Tl2OsBr
_cell_length_a 3.5917
_cell_length_b 3.5917
_cell_length_c 25.7668
_cell_angle_alpha 90.00
_cell_angle_beta 90.00
_cell_angle_gamma 120.00
_symmetry_space_group_name_H-M 'R -3 m'
_symmetry_Int_Tables_number 166
_symmetry_space_group_name_Hall '-R 3 2"'
loop_
_atom_site_label
_atom_site_fract_x
_atom_site_fract_y
_atom_site_fract_z
_atom_site_occupancy
Tl1 0.0000 0.0000 0.2398 1
Os1 0.0000 0.0000 0.5000 1
Br1 0.0000 0.0000 0.0000 1
```

Calculated values
Formation energy (no corrections): 2.76 eV per formula unit
Total DFT energy (no corrections): -3.7182 eV per atom

***

20.
VASP calculation (PBE) on an optimized crystal structure of Sr2BePC.

```
data_Sr2BePC
_cell_length_a 5.717
_cell_length_b 5.717
_cell_length_c 3.868
_cell_angle_alpha 90.00
_cell_angle_beta 90.00
_cell_angle_gamma 90.00
_symmetry_space_group_name_H-M 'P 4/m m m'
_symmetry_Int_Tables_number 123
_symmetry_space_group_name_Hall '-P 4 2'
loop_
_atom_site_label
_atom_site_fract_x
_atom_site_fract_y
_atom_site_fract_z
_atom_site_occupancy
Sr1 0.000 0.500 0.000 1
Be1 0.000 0.000 0.500 1
P1 0.000 0.000 0.000 1
C1 0.500 0.500 0.500 1
```

Calculated values
Formation energy from the elements: 0.6000 eV per atom
Total DFT energy (no corrections): -3.7447 eV per atom